# 1
First-principles (PBE-GGA) data for Pa2Se5I2 after structural relaxation, as listed in Alexandria via LeMat-Bulk.

Summary:
E_form (uncorrected)	-786	meV per atom

Unit cell a=8.9447 b=8.9447 c=8.3922 alpha=90.00 beta=90.00 gamma=54.99
Sites, in units of the cell vectors:
Pa 0.1670 0.8330 0.8374
Pa 0.3330 0.6670 0.3374
Pa 0.6670 0.3330 0.6626
Pa 0.8330 0.1670 0.1626
Se 0.0000 0.0000 0.5000
Se 0.0292 0.7690 0.1342
Se 0.2310 0.9708 0.1342
Se 0.2690 0.5292 0.6342
Se 0.4708 0.7310 0.6342
Se 0.5000 0.5000 0.0000
Se 0.5292 0.2690 0.3658
Se 0.7310 0.4708 0.3658
Se 0.7690 0.0292 0.8658
Se 0.9708 0.2310 0.8658
I 0.1820 0.1820 0.5000
I 0.3180 0.3180 0.0000
I 0.6820 0.6820 0.0000
I 0.8180 0.8180 0.5000

---

# 2
First-principles (PBE-GGA) data for Pa2SeI7 after structural relaxation, as listed in Alexandria via LeMat-Bulk.

Summary:
E_form (uncorrected)	-818	meV per atom

Unit cell a=10.5646 b=4.1320 c=10.5988 alpha=90.00 beta=99.45 gamma=90.00
Sites, in units of the cell vectors:
Pa 0.1236 0.0000 0.3764
Pa 0.8764 0.0000 0.6236
Se 0.0000 0.5000 0.5000
I 0.0848 0.0000 0.8369
I 0.2643 0.5000 0.2365
I 0.3372 0.0000 0.5845
I 0.5000 0.0000 0.0000
I 0.6628 0.0000 0.4155
I 0.7357 0.5000 0.7635
I 0.9152 0.0000 0.1631

---

# 3
First-principles (PBE-GGA) data for PaSe2I5 after structural relaxation, as listed in Alexandria via LeMat-Bulk.

Summary:
E_form (uncorrected)	-573	meV per atom

Unit cell a=6.6021 b=8.4419 c=8.5742 alpha=62.48 beta=77.43 gamma=79.90
Sites, in units of the cell vectors:
Pa 0.0000 0.0000 0.0000
Se 0.3399 0.7349 0.1079
Se 0.7085 0.7535 0.0045
I 0.1124 0.1577 0.2102
I 0.2874 0.2082 0.6877
I 0.6708 0.2870 0.9204
I 0.8807 0.9432 0.6752
I 0.8997 0.6837 0.3622

---

What did the second record say?
First-principles (PBE-GGA) data for Pa2SeI7 after structural relaxation, as listed in Alexandria via LeMat-Bulk.

Summary:
E_form (uncorrected)	-818	meV per atom

Unit cell a=10.5646 b=4.1320 c=10.5988 alpha=90.00 beta=99.45 gamma=90.00
Sites, in units of the cell vectors:
Pa 0.1236 0.0000 0.3764
Pa 0.8764 0.0000 0.6236
Se 0.0000 0.5000 0.5000
I 0.0848 0.0000 0.8369
I 0.2643 0.5000 0.2365
I 0.3372 0.0000 0.5845
I 0.5000 0.0000 0.0000
I 0.6628 0.0000 0.4155
I 0.7357 0.5000 0.7635
I 0.9152 0.0000 0.1631

---

E_form (uncorrected) of number 2 (Pa2SeI7)?
-818 meV per atom

---

E_form (uncorrected) of number 3 (PaSe2I5)?
-573 meV per atom

---

The lowest E_form (uncorrected) belongs to which entry?
Pa2SeI7